Below is In3Pb after structural relaxation, with properties calculated at the PBEsol level.

The space group is Cmmm (No. 65) and the conventional cell measures 3.6986, 5.5001 and 10.4792 Å, with angles of 90.00, 90.00 and 90.00 degrees. The inequivalent atoms are In at (0.0000, 0.0000, 0.0000), In at (0.0000, 0.5000, 0.2407) and Pb at (0.0000, 0.0000, 0.5000).

The total energy comes out at -3.209 eV/atom. The value obtained for the formation energy is 0.028 eV per atom. The density of states at the Fermi level is 0.49 states/eV/atom.

Below is Cd2POs after structural relaxation, with properties calculated at the PBEsol level.

The space group is R-3m (No. 166, hexagonal axes) and the conventional cell measures 2.8200, 2.8200 and 29.5503 Å, with angles of 90.00, 90.00 and 120.00 degrees. The inequivalent atoms are Cd at (0.0000, 0.0000, 0.2470), P at (0.0000, 0.0000, 0.0000) and Os at (0.0000, 0.0000, 0.5000).

The total energy comes out at -4.508 eV/atom. The value obtained for the formation energy is 0.593 eV per atom. The density of states at the Fermi level is 0.76 states/eV/atom.